[1]
VASP calculation (PBE) on a relaxed BaPdOF2 crystal.

Computed properties:
- mass density (kg/m³) = 6189
- energy relative to the lowest polymorph listed for this composition (eV/atom) = 0.000
- Fermi-level density of states (states/eV/f.u.) = 1.46

```
BaPdOF2
1.0
4.3530 0.0000 0.0000
0.0000 4.3530 0.0000
0.0000 0.0000 4.2157
Ba Pd O F
1 1 1 2
Direct
0.0000 0.0000 0.0000 Ba
0.5000 0.5000 0.5000 Pd
0.5000 0.5000 0.0000 O
0.0000 0.5000 0.5000 F
0.5000 0.0000 0.5000 F
```

[2]
VASP calculation (PBE) on a relaxed Y3Os crystal.

Computed properties:
- mass density (kg/m³) = 7638
- Fermi-level density of states (states/eV/f.u.) = 3.99
- calculated formation energy (eV per atom) = 0.19

```
Y3Os
1.0
-2.2653 2.2653 9.6798
2.2653 -2.2653 9.6798
2.2653 2.2653 -9.6798
Y Os
6 2
Direct
0.0000 0.5000 0.5000 Y
0.1268 0.1268 0.0000 Y
0.2500 0.7500 0.5000 Y
0.5000 0.0000 0.5000 Y
0.7500 0.2500 0.5000 Y
0.8732 0.8732 0.0000 Y
0.3574 0.3574 0.0000 Os
0.6426 0.6426 0.0000 Os
```